## Ac2ErZn3 (GGA-PBE)

Data for a relaxed Ac2ErZn3 crystal.

SG	P4/mmm (123)
uncorrected energy	-18.1	eV/f.u.
total magnetic moment	0.00	μB/atom

Lattice parameters (Å, degrees): 3.7637 3.7637 11.4738 90.00 90.00 90.00
Fractional positions:
Ac1 0.5000 0.5000 0.1786
Ac2 0.5000 0.5000 0.8214
Zn1 0.0000 0.0000 0.6332
Zn2 0.0000 0.0000 0.3668
Zn3 0.0000 0.0000 0.0000
Er1 0.5000 0.5000 0.5000